Computed, not measured: an optimized crystal structure of LaErHf at the PBE-GGA level of DFT.

Properties
* energy above the most stable polymorph in this dataset: 0 meV per atom
* space group: I4mm, No. 107
* E_form: 0.144 eV per atom

Lattice parameters (Å, degrees): 8.1137 8.1137 8.1137 156.11 156.11 34.04
Positions (direct):
La  0.0000  0.0000  0.0000
Er  0.3080  0.3080  0.0000
Hf  0.6647  0.6647  0.0000

=====

Computed, not measured: an optimized crystal structure of LaEr2Hf at the PBE-GGA level of DFT.

Properties
* energy above the most stable polymorph in this dataset: 96 meV per atom
* space group: P4/mmm, No. 123
* E_form: 0.212 eV per atom

Lattice parameters (Å, degrees): 3.9569 3.9569 7.6860 90.00 90.00 90.00
Positions (direct):
La  0.0000  0.0000  0.0000
Er  0.5000  0.5000  0.2894
Er  0.5000  0.5000  0.7106
Hf  0.0000  0.0000  0.5000

=====

Computed, not measured: an optimized crystal structure of LaEr2Hf at the PBE-GGA level of DFT.

Properties
* energy above the most stable polymorph in this dataset: 0 meV per atom
* space group: R3m, No. 160
* E_form: 0.116 eV per atom

Lattice parameters (Å, degrees): 11.5780 11.5780 11.5780 17.09 17.09 17.09
Positions (direct):
La  0.0000  0.0000  0.0000
Er  0.2428  0.2428  0.2428
Er  0.4251  0.4251  0.4251
Hf  0.8342  0.8342  0.8342

=====

Computed, not measured: an optimized crystal structure of La2ErHfP4 at the PBE-GGA level of DFT.

Properties
* space group: P2/m, No. 10
* E_form: -1.501 eV per atom

Lattice parameters (Å, degrees): 6.9680 4.0177 7.0302 90.00 109.13 90.00
Positions (direct):
La  0.0000  0.0000  0.0000
La  0.5000  0.5000  0.0000
Er  0.0000  0.5000  0.5000
Hf  0.5000  0.0000  0.5000
P  0.2518  0.0000  0.7257
P  0.2686  0.5000  0.2794
P  0.7314  0.5000  0.7206
P  0.7482  0.0000  0.2743

=====

Computed, not measured: an optimized crystal structure of LaErHfTh at the PBE-GGA level of DFT.

Properties
* space group: F-43m, No. 216
* E_form: 0.196 eV per atom

Lattice parameters (Å, degrees): 5.5108 5.5108 5.5108 60.00 60.00 60.00
Positions (direct):
La  0.0000  0.0000  0.0000
Er  0.2500  0.2500  0.2500
Hf  0.7500  0.7500  0.7500
Th  0.5000  0.5000  0.5000

=====

Computed, not measured: an optimized crystal structure of LiErHfMo at the PBE-GGA level of DFT.

Properties
* space group: F-43m, No. 216
* E_form: 0.150 eV per atom

Lattice parameters (Å, degrees): 4.8006 4.8006 4.8006 60.00 60.00 60.00
Positions (direct):
Li  0.0000  0.0000  0.0000
Er  0.7500  0.7500  0.7500
Hf  0.2500  0.2500  0.2500
Mo  0.5000  0.5000  0.5000

=====

Computed, not measured: an optimized crystal structure of LiEr2Hf3N6 at the PBE-GGA level of DFT.

Properties
* uncorrected formation energy: -1.7043 eV/atom
* space group: C2/m, No. 12

Lattice parameters (Å, degrees): 7.3134 7.3134 6.6122 104.19 104.19 25.77
Positions (direct):
Li  0.0000  0.0000  0.0000
Er  0.3382  0.3382  0.6774
Er  0.6618  0.6618  0.3226
Hf  0.0000  0.0000  0.5000
Hf  0.3391  0.3391  0.1641
Hf  0.6609  0.6609  0.8359
N  0.1626  0.1626  0.5935
N  0.1713  0.1713  0.0702
N  0.4943  0.4943  0.2706
N  0.5057  0.5057  0.7294
N  0.8287  0.8287  0.9298
N  0.8374  0.8374  0.4065

=====

Computed, not measured: an optimized crystal structure of LiErHfNi at the PBE-GGA level of DFT.

Properties
* space group: F-43m, No. 216
* E_form: -0.027 eV per atom

Lattice parameters (Å, degrees): 4.7112 4.7112 4.7112 60.00 60.00 60.00
Positions (direct):
Li  0.0000  0.0000  0.0000
Er  0.7500  0.7500  0.7500
Hf  0.2500  0.2500  0.2500
Ni  0.5000  0.5000  0.5000

=====

Computed, not measured: an optimized crystal structure of LiErHfPd at the PBE-GGA level of DFT.

Properties
* space group: F-43m, No. 216
* E_form: -0.225 eV per atom

Lattice parameters (Å, degrees): 4.8265 4.8265 4.8265 60.00 60.00 60.00
Positions (direct):
Li  0.0000  0.0000  0.0000
Er  0.7500  0.7500  0.7500
Hf  0.2500  0.2500  0.2500
Pd  0.5000  0.5000  0.5000

=====

Computed, not measured: an optimized crystal structure of LiErHfRh at the PBE-GGA level of DFT.

Properties
* space group: F-43m, No. 216
* E_form: -0.391 eV per atom

Lattice parameters (Å, degrees): 4.7517 4.7517 4.7517 60.00 60.00 60.00
Positions (direct):
Li  0.0000  0.0000  0.0000
Er  0.7500  0.7500  0.7500
Hf  0.2500  0.2500  0.2500
Rh  0.5000  0.5000  0.5000

=====

Computed, not measured: an optimized crystal structure of Li4Er3HfS8 at the PBE-GGA level of DFT.

Properties
* uncorrected formation energy: -1.7500 eV/atom
* space group: R-3m, No. 166

Lattice parameters (Å, degrees): 7.5681 7.5681 7.5681 60.26 60.26 60.26
Positions (direct):
Li  0.0000  0.0000  0.0000
Li  0.0000  0.5000  0.5000
Li  0.5000  0.0000  0.5000
Li  0.5000  0.5000  0.0000
Er  0.0000  0.0000  0.5000
Er  0.0000  0.5000  0.0000
Er  0.5000  0.0000  0.0000
Hf  0.5000  0.5000  0.5000
S  0.2512  0.2512  0.2512
S  0.2574  0.2574  0.7375
S  0.2574  0.7375  0.2574
S  0.2625  0.7426  0.7426
S  0.7375  0.2574  0.2574
S  0.7426  0.2625  0.7426
S  0.7426  0.7426  0.2625
S  0.7488  0.7488  0.7488

=====

Computed, not measured: an optimized crystal structure of Li2Er2HfS6 at the PBE-GGA level of DFT.

Properties
* uncorrected formation energy: -1.7722 eV/atom
* space group: C2/m, No. 12

Lattice parameters (Å, degrees): 6.6138 6.6138 6.5163 99.19 99.19 119.60
Positions (direct):
Li  0.1593  0.8407  0.0000
Li  0.8407  0.1593  0.0000
Er  0.3340  0.6660  0.5000
Er  0.6660  0.3340  0.5000
Hf  0.0000  0.0000  0.5000
S  0.0715  0.3927  0.7396
S  0.2373  0.2373  0.2604
S  0.3927  0.0715  0.7396
S  0.6073  0.9285  0.2604
S  0.7627  0.7627  0.7396
S  0.9285  0.6073  0.2604

=====

Computed, not measured: an optimized crystal structure of Li3Er3HfS8 at the PBE-GGA level of DFT.

Properties
* uncorrected formation energy: -1.8066 eV/atom
* space group: R-3m, No. 166

Lattice parameters (Å, degrees): 7.5950 7.5950 7.5950 60.85 60.85 60.85
Positions (direct):
Li  0.0000  0.5000  0.5000
Li  0.5000  0.0000  0.5000
Li  0.5000  0.5000  0.0000
Er  0.0000  0.0000  0.5000
Er  0.0000  0.5000  0.0000
Er  0.5000  0.0000  0.0000
Hf  0.5000  0.5000  0.5000
S  0.2497  0.2497  0.2497
S  0.2622  0.2622  0.7363
S  0.2622  0.7363  0.2622
S  0.2637  0.7378  0.7378
S  0.7363  0.2622  0.2622
S  0.7378  0.2637  0.7378
S  0.7378  0.7378  0.2637
S  0.7503  0.7503  0.7503

=====

Computed, not measured: an optimized crystal structure of LiErHfS4 at the PBE-GGA level of DFT.

Properties
* uncorrected formation energy: -1.7438 eV/atom
* space group: Imma, No. 74

Lattice parameters (Å, degrees): 7.6890 7.6890 7.6890 121.57 118.78 89.71
Positions (direct):
Li  0.3721  0.1221  0.2500
Li  0.6279  0.8779  0.7500
Er  0.0000  0.5000  0.5000
Er  0.5000  0.5000  0.0000
Hf  0.0000  0.0000  0.5000
Hf  0.0000  0.5000  0.0000
S  0.2258  0.7495  0.4763
S  0.2267  0.2505  0.9763
S  0.2333  0.2375  0.5043
S  0.2333  0.7290  0.9957
S  0.7667  0.2710  0.0043
S  0.7667  0.7625  0.4957
S  0.7733  0.7495  0.0237
S  0.7742  0.2505  0.5237

=====

Computed, not measured: an optimized crystal structure of Li2ErHfSe4 at the PBE-GGA level of DFT.

Properties
* uncorrected formation energy: -1.4620 eV/atom
* space group: P2/m, No. 10

Lattice parameters (Å, degrees): 6.7532 3.8722 6.8907 90.00 108.88 90.00
Positions (direct):
Li  0.0000  0.0000  0.0000
Li  0.5000  0.5000  0.0000
Er  0.0000  0.5000  0.5000
Hf  0.5000  0.0000  0.5000
Se  0.2610  0.5000  0.2517
Se  0.2627  0.0000  0.7536
Se  0.7373  0.0000  0.2464
Se  0.7390  0.5000  0.7483

=====

Computed, not measured: an optimized crystal structure of LiErHfSe4 at the PBE-GGA level of DFT.

Properties
* uncorrected formation energy: -1.5323 eV/atom
* space group: Imma, No. 74

Lattice parameters (Å, degrees): 8.0340 8.0340 8.0340 121.47 118.87 89.72
Positions (direct):
Li  0.3744  0.1244  0.2500
Li  0.6256  0.8756  0.7500
Er  0.0000  0.5000  0.5000
Er  0.5000  0.5000  0.0000
Hf  0.0000  0.0000  0.5000
Hf  0.0000  0.5000  0.0000
Se  0.2287  0.2497  0.9791
Se  0.2294  0.7503  0.4791
Se  0.2349  0.2372  0.5023
Se  0.2349  0.7327  0.9977
Se  0.7651  0.2673  0.0023
Se  0.7651  0.7628  0.4977
Se  0.7706  0.2497  0.5209
Se  0.7713  0.7503  0.0209

=====

Computed, not measured: an optimized crystal structure of LiErHfTc at the PBE-GGA level of DFT.

Properties
* space group: F-43m, No. 216
* E_form: -0.128 eV per atom

Lattice parameters (Å, degrees): 4.7461 4.7461 4.7461 60.00 60.00 60.00
Positions (direct):
Li  0.0000  0.0000  0.0000
Er  0.2500  0.2500  0.2500
Hf  0.7500  0.7500  0.7500
Tc  0.5000  0.5000  0.5000

=====

Computed, not measured: an optimized crystal structure of ErLuHf2 at the PBE-GGA level of DFT.

Properties
* energy above the most stable polymorph in this dataset: 0 meV per atom
* space group: R-3m, No. 166
* E_form: 0.155 eV per atom

Lattice parameters (Å, degrees): 11.0109 11.0109 11.0109 17.13 17.13 17.13
Positions (direct):
Er  0.0000  0.0000  0.0000
Lu  0.5000  0.5000  0.5000
Hf  0.2497  0.2497  0.2497
Hf  0.7503  0.7503  0.7503

=====

Computed, not measured: an optimized crystal structure of ErLuHf2 at the PBE-GGA level of DFT.

Properties
* energy above the most stable polymorph in this dataset: 5 meV per atom
* space group: P4/mmm, No. 123
* E_form: 0.160 eV per atom

Lattice parameters (Å, degrees): 4.6257 4.6257 4.7294 90.00 90.00 90.00
Positions (direct):
Er  0.0000  0.0000  0.0000
Lu  0.5000  0.5000  0.0000
Hf  0.0000  0.5000  0.5000
Hf  0.5000  0.0000  0.5000

=====

Computed, not measured: an optimized crystal structure of ErLu2Hf at the PBE-GGA level of DFT.

Properties
* energy above the most stable polymorph in this dataset: 221 meV per atom
* space group: R-3m, No. 166
* E_form: 0.344 eV per atom

Lattice parameters (Å, degrees): 11.9958 11.9958 11.9958 15.75 15.75 15.75
Positions (direct):
Er  0.0000  0.0000  0.0000
Lu  0.4125  0.4125  0.4125
Lu  0.5875  0.5875  0.5875
Hf  0.5000  0.5000  0.5000